# 1
MoOsRh3 PBE relaxed; D(E_F) = 1.416 states/eV/atom; energy above the lowest structure with this stoichiometry = 0.000 eV/atom; symmetry = R-3m (166)
1.0
4.834 0.000 2.297
1.871 4.457 2.297
0.613 0.407 4.947
Mo Os Rh
1 1 3
direct
0.475 0.475 0.575 Mo
0.975 0.975 0.075 Os
0.475 0.975 0.575 Rh
0.975 0.475 0.575 Rh
0.975 0.975 0.575 Rh


# 2
MoOsRh3 PBE relaxed; D(E_F) = 1.197 states/eV/atom; energy above the lowest structure with this stoichiometry = 0.600 eV/atom; symmetry = Pm-3m (221)
1.0
-1.628 0.358 4.291
-1.920 -4.166 -0.381
3.854 -1.925 1.623
Rh Mo Os
3 1 1
direct
0.000 0.500 0.000 Rh
0.000 0.000 0.500 Rh
0.500 0.000 0.000 Rh
0.000 0.000 0.000 Mo
0.500 0.500 0.500 Os